VASP calculation (GGA-PBE) on crystalline Tm3ZrSc4 at its relaxed geometry.

Cell: 10.5632 6.7861 5.8803 Å, 90.00 90.00 90.00°
Element x y z (fractional)
Tm1 0.0000 0.1258 0.0000
Tm2 0.2470 0.1289 0.3420
Tm3 0.2530 0.8711 0.8420
Tm4 0.5000 0.8742 0.5000
Tm5 0.7470 0.8711 0.8420
Tm6 0.7530 0.1289 0.3420
Zr1 0.0000 0.8675 0.5093
Zr2 0.5000 0.1325 0.0093
Sc1 0.0000 0.3846 0.5081
Sc2 0.0000 0.6280 0.0137
Sc3 0.2442 0.6230 0.3438
Sc4 0.2558 0.3770 0.8438
Sc5 0.5000 0.3720 0.5137
Sc6 0.5000 0.6154 0.0081
Sc7 0.7442 0.3770 0.8438
Sc8 0.7558 0.6230 0.3438

Computed properties:
As for the final energy: -5.889 eV per atom. The value obtained for the density of states at the Fermi level is 1.7997 states/eV/atom. For the size of the total moment, the calculation gives 0.0003 μB/atom. For the energy of formation, the calculation gives 0.022 eV per atom. The crystal system is orthorhombic.